(1)
VASP calculation (GGA-PBE) on an optimized crystal structure of NaAg2As.

Cell lengths 4.2867, 4.2867, 4.1403 Å; angles 90.00, 90.00, 90.00 degrees
Last column: nearest neighbours and their distance in Å.
Element x y z (fractional)
1 Na 0.0000 0.0000 0.0000  8 Ag 2.98, 4 As 3.03
2 Ag 0.0000 0.5000 0.5000  4 As 2.98, 4 Na 2.98, 4 Ag 3.03
3 Ag 0.5000 0.0000 0.5000  4 As 2.98, 4 Na 2.98, 4 Ag 3.03
4 As 0.5000 0.5000 0.0000  8 Ag 2.98, 4 Na 3.03

Computed properties:
Energy of formation from the pure elements   -0.019 eV per atom
DFT total energy   -11.75 eV per cell
Energy above the most stable polymorph in this dataset   84.3 meV per atom
Calculated volume   76.08 Å³/f.u.


(2)
VASP calculation (GGA-PBE) on an optimized crystal structure of Na2SiAsCl.

Cell lengths 5.7676, 5.7676, 4.9741 Å; angles 90.00, 90.00, 90.00 degrees
Last column: nearest neighbours and their distance in Å.
Element x y z (fractional)
1 Na 0.0000 0.5000 0.0000  2 As 2.88
2 Na 0.5000 0.0000 0.0000  2 As 2.88
3 Si 0.0000 0.0000 0.5000  8 Na 3.81, 4 Cl 4.08
4 As 0.5000 0.5000 0.0000  2 Cl 2.49
5 Cl 0.5000 0.5000 0.5000  2 As 2.49

Computed properties:
Uncorrected formation energy   0.397 eV per atom
DFT total energy   -12.57 eV per cell
Calculated volume   165.46 Å³/f.u.


(3)
VASP calculation (GGA-PBE) on an optimized crystal structure of Cu2NiW.

Cell lengths 2.6690, 4.4560, 8.6580 Å; angles 90.00, 90.00, 90.00 degrees
Last column: nearest neighbours and their distance in Å.
Element x y z (fractional)
1 Cu 0.0000 0.0000 0.0000  2 Ni 2.47, 4 Cu 2.48-2.67, 4 W 2.60
2 Cu 0.0000 0.5000 0.2583  4 Cu 2.48-2.67, 4 Ni 2.60, 2 W 2.68
3 Cu 0.5000 0.0000 0.7583  4 Cu 2.48-2.67, 4 Ni 2.60, 2 W 2.68
4 Cu 0.5000 0.5000 0.5000  2 Ni 2.47, 4 Cu 2.48-2.67, 4 W 2.60
5 Ni 0.0000 0.5000 0.7397  6 Cu 2.47-2.60, 2 W 2.55, 2 Ni 2.67
6 Ni 0.5000 0.0000 0.2397  6 Cu 2.47-2.60, 2 W 2.55, 2 Ni 2.67
7 W 0.0000 0.0000 0.4900  2 Ni 2.55, 6 Cu 2.60-2.68, 2 W 2.67
8 W 0.5000 0.5000 0.9900  2 Ni 2.55, 6 Cu 2.60-2.68, 2 W 2.67

Computed properties:
Energy of formation from the pure elements   0.295 eV per atom
DFT total energy   -51.50 eV per cell
Energy above the most stable polymorph in this dataset   187.1 meV per atom
Calculated volume   51.49 Å³/f.u.


(4)
VASP calculation (GGA-PBE) on an optimized crystal structure of ZnAsPbBr2.

Cell lengths 5.1880, 5.1880, 5.1782 Å; angles 90.00, 90.00, 90.00 degrees
Last column: nearest neighbours and their distance in Å.
Element x y z (fractional)
1 Zn 0.0000 0.0000 0.0000  2 As 2.59, 4 Br 2.59
2 As 0.0000 0.0000 0.5000  2 Zn 2.59
3 Pb 0.5000 0.5000 0.5000  8 Br 3.66, 4 As 3.67
4 Br 0.0000 0.5000 0.0000  2 Zn 2.59
5 Br 0.5000 0.0000 0.0000  2 Zn 2.59

Computed properties:
Uncorrected formation energy   -0.062 eV per atom
DFT total energy   -13.29 eV per cell
Energy above the most stable polymorph in this dataset   0.0 meV per atom
Calculated volume   139.37 Å³/f.u.